Ac2UTe6 | GGA-PBE | optimized geometry

Structure (POSCAR):
```
Ac2UTe6
1.0
8.7627 0.0000 0.0000
-4.3813 7.5887 0.0000
0.0000 0.0000 4.4334
Ac U Te
2 1 6
Direct
0.3333 0.6667 0.0000
0.6667 0.3333 0.0000
0.0000 0.0000 0.5000
0.0000 0.2444 0.0000
0.0000 0.6040 0.5000
0.2444 0.0000 0.0000
0.3960 0.3960 0.5000
0.6040 0.0000 0.5000
0.7556 0.7556 0.0000
```

Values from the calculation:
- symmetry = P-62m, No. 189
- calculated total energy (eV/atom) = -5.35

***

Ac5UTe8 | GGA-PBE | optimized geometry

Structure (POSCAR):
```
Ac5UTe8
1.0
-4.9473 4.9473 4.9353
4.9473 -4.9473 4.9353
4.9473 4.9473 -4.9353
Ac U Te
5 1 8
Direct
0.0000 0.0000 0.0000
0.1245 0.2513 0.6236
0.4991 0.8755 0.1267
0.6276 0.5009 0.3764
0.7487 0.3724 0.8733
0.2500 0.7500 0.5000
0.0338 0.6270 0.7479
0.2231 0.4763 0.1073
0.3691 0.1158 0.8927
0.3730 0.1209 0.4068
0.5237 0.6309 0.7468
0.7141 0.9662 0.5932
0.8791 0.2859 0.2521
0.8842 0.7769 0.2532
```

Values from the calculation:
- symmetry = I-4, No. 82
- calculated total energy (eV/atom) = -5.46

***

AcU4Te8 | GGA-PBE | optimized geometry

Structure (POSCAR):
```
AcU4Te8
1.0
0.0000 6.4672 6.4672
6.4672 0.0000 6.4672
6.4672 6.4672 0.0000
Ac U Te
1 4 8
Direct
0.0000 0.0000 0.0000
0.1493 0.6169 0.6169
0.6169 0.1493 0.6169
0.6169 0.6169 0.1493
0.6169 0.6169 0.6169
0.3790 0.3790 0.3790
0.3790 0.3790 0.8630
0.3790 0.8630 0.3790
0.4220 0.8593 0.8593
0.8593 0.4220 0.8593
0.8593 0.8593 0.4220
0.8593 0.8593 0.8593
0.8630 0.3790 0.3790
```

Values from the calculation:
- symmetry = F-43m, No. 216
- calculated total energy (eV/atom) = -6.39

***

AcU2Te6 | GGA-PBE | optimized geometry

Structure (POSCAR):
```
AcU2Te6
1.0
-2.8889 2.8889 11.3943
2.8889 -2.8889 11.3943
2.8889 2.8889 -11.3943
Ac U Te
1 2 6
Direct
0.0000 0.0000 0.0000
0.3055 0.3055 0.0000
0.6945 0.6945 0.0000
0.1732 0.6300 0.0000
0.2500 0.7500 0.5000
0.3700 0.3700 0.5432
0.6300 0.1732 0.0000
0.7500 0.2500 0.5000
0.8268 0.8268 0.4568
```

Values from the calculation:
- symmetry = I-42m, No. 121
- calculated total energy (eV/atom) = -5.55

***

AcVTe | GGA-PBE | optimized geometry

Structure (POSCAR):
```
AcVTe
1.0
9.1634 -2.3344 0.0000
9.1634 2.3344 0.0000
-0.1071 0.0000 4.5271
Ac V Te
2 2 2
Direct
0.1082 0.1082 0.2387
0.8918 0.8918 0.7613
0.4795 0.4795 0.3097
0.5205 0.5205 0.6903
0.2518 0.2518 0.7502
0.7482 0.7482 0.2498
```

Values from the calculation:
- symmetry = C2/m, No. 12
- calculated total energy (eV/atom) = -5.43

***

Ac2TeW | GGA-PBE | optimized geometry

Structure (POSCAR):
```
Ac2TeW
1.0
1.9465 1.1238 10.6407
-1.9465 1.1238 10.6407
0.0000 -2.2476 10.6407
Ac Te W
2 1 1
Direct
0.0915 0.0915 0.0915
0.9085 0.9085 0.9085
0.5000 0.5000 0.5000
0.0000 0.0000 0.0000
```

Values from the calculation:
- symmetry = R-3m, No. 166
- calculated total energy (eV/atom) = -5.24

***

| no. | raw formation energy (kJ/mol of atoms) |
| --- | --- |
| 1 | -105 |
| 2 | -134 |
| 3 | -64 |
| 4 | -48 |
| 5 | 3 |
| 6 | 80 |